[1]
Material: NaMg2TaAs
Method: DFT, SCAN
State: PBEsol geometry

Lattice parameters (Å, degrees): 4.657 4.657 5.127 90.00 90.00 90.00
Positions (direct):
Na  0.000  0.000  0.000
Mg  0.000  0.500  0.000
Mg  0.500  0.000  0.000
Ta  0.000  0.000  0.500
As  0.500  0.500  0.500

Output
Excess energy over the best structure of this formula in the dataset   1076 meV/atom
VASP energy   -93.036 eV for the cell shown
Formation energy   1.5800 eV/atom
Space group   P4/mmm

=====

[2]
Material: SrTe2O
Method: DFT, SCAN
State: PBEsol geometry

Lattice parameters (Å, degrees): 7.293 7.293 7.293 41.97 41.97 41.97
Positions (direct):
Sr  0.000  0.000  0.000
Te  0.401  0.401  0.401
Te  0.599  0.599  0.599
O  0.500  0.500  0.500

Output
Formation energy without anion corrections   -0.69 eV per atom
VASP energy   -105.775 eV for the cell shown
Space group   R-3m

=====

[3]
Material: BaAl2Ag
Method: DFT, SCAN
State: PBEsol geometry

Lattice parameters (Å, degrees): 6.546 6.546 6.546 40.10 40.10 40.10
Positions (direct):
Ba  0.000  0.000  0.000
Al  0.520  0.520  0.520
Al  0.799  0.799  0.799
Ag  0.189  0.189  0.189

Output
VASP energy   -87.465 eV for the cell shown
Formation energy   -0.2611 eV/atom
Space group   R3m

=====

[4]
Material: YFeCu2
Method: DFT, SCAN
State: PBEsol geometry

Lattice parameters (Å, degrees): 4.859 4.859 4.859 135.01 131.92 67.96
Positions (direct):
Y  0.000  0.000  0.000
Fe  0.500  0.500  0.000
Cu  0.257  0.757  0.500
Cu  0.743  0.243  0.500

Output
VASP energy   -75.872 eV for the cell shown
Formation energy   0.1248 eV/atom
Space group   Immm

=====

| no. | magnetization (Bohr magnetons per cell) | calculated density (Mg/m³) |
| --- | --- | --- |
| 1 | 0.00 | 4.890 |
| 2 | 0.00 | 3.798 |
| 3 | 0.00 | 4.737 |
| 4 | 1.91 | 7.612 |